1 | # TiAlRu3

An optimized crystal structure of TiAlRu3 (GGA-PBE, Alexandria).

## Properties
DOS(E_F): 0.696 states/eV/atom
crystal system: cubic

```
data_TiAlRu3
_chemical_formula_sum 'Ti1 Al1 Ru3'
_space_group_name_H-M_alt 'P m -3 m'
_space_group_IT_number 221
_space_group_name_Hall '-P 4 2 3'
_cell_length_a 4.369
_cell_length_b 4.369
_cell_length_c 4.369
_cell_angle_alpha 90.00
_cell_angle_beta 90.00
_cell_angle_gamma 90.00
loop_
_atom_site_label
_atom_site_type_symbol
_atom_site_fract_x
_atom_site_fract_y
_atom_site_fract_z
_atom_site_occupancy
Ti1 Ti 0.000 0.000 0.000 1
Al1 Al 0.500 0.500 0.500 1
Ru1 Ru 0.000 0.500 0.500 1
```

=====

2 | # TiAlRu3

An optimized crystal structure of TiAlRu3 (GGA-PBE, Alexandria).

## Properties
DOS(E_F): 1.110 states/eV/atom
crystal system: cubic

```
data_TiAlRu3
_chemical_formula_sum 'Ti1 Al1 Ru3'
_space_group_name_H-M_alt 'P m -3 m'
_space_group_IT_number 221
_space_group_name_Hall '-P 4 2 3'
_cell_length_a 4.478
_cell_length_b 4.478
_cell_length_c 4.478
_cell_angle_alpha 90.00
_cell_angle_beta 90.00
_cell_angle_gamma 90.00
loop_
_atom_site_label
_atom_site_type_symbol
_atom_site_fract_x
_atom_site_fract_y
_atom_site_fract_z
_atom_site_occupancy
Ti1 Ti 0.000 0.000 0.000 1
Al1 Al 0.500 0.500 0.500 1
Ru1 Ru 0.000 0.000 0.500 1
```

=====

Relative energies in meV per atom: 1 0; 2 286

=====

1 | # TiAl2Ru2

An optimized crystal structure of TiAl2Ru2 (GGA-PBE, Alexandria).

## Properties
DOS(E_F): 0.232 states/eV/atom
crystal system: orthorhombic

```
data_TiAl2Ru2
_chemical_formula_sum 'Ti2 Al4 Ru4'
_space_group_name_H-M_alt 'C m m m'
_space_group_IT_number 65
_space_group_name_Hall '-C 2 2'
_cell_length_a 3.024
_cell_length_b 16.583
_cell_length_c 3.071
_cell_angle_alpha 90.00
_cell_angle_beta 90.00
_cell_angle_gamma 90.00
loop_
_atom_site_label
_atom_site_type_symbol
_atom_site_fract_x
_atom_site_fract_y
_atom_site_fract_z
_atom_site_occupancy
Ti1 Ti 0.000 0.000 0.000 1
Al1 Al 0.000 0.178 0.000 1
Ru1 Ru 0.000 0.406 0.500 1
```

=====

2 | # TiAl2Ru2

An optimized crystal structure of TiAl2Ru2 (GGA-PBE, Alexandria).

## Properties
DOS(E_F): 1.024 states/eV/atom
crystal system: tetragonal

```
data_TiAl2Ru2
_chemical_formula_sum 'Ti2 Al4 Ru4'
_space_group_name_H-M_alt 'P 4/m b m'
_space_group_IT_number 127
_space_group_name_Hall '-P 4 2ab'
_cell_length_a 7.089
_cell_length_b 7.089
_cell_length_c 2.926
_cell_angle_alpha 90.00
_cell_angle_beta 90.00
_cell_angle_gamma 90.00
loop_
_atom_site_label
_atom_site_type_symbol
_atom_site_fract_x
_atom_site_fract_y
_atom_site_fract_z
_atom_site_occupancy
Ti1 Ti 0.000 0.000 0.000 1
Al1 Al 0.128 0.372 0.000 1
Ru1 Ru 0.170 0.670 0.500 1
```

=====

Relative energies in meV per atom: 1 0; 2 65

=====

1 | # AlTl2Ru

An optimized crystal structure of AlTl2Ru (GGA-PBE, Alexandria).

## Properties
DOS(E_F): 0.541 states/eV/atom
crystal system: orthorhombic

```
data_AlTl2Ru
_chemical_formula_sum 'Al1 Tl2 Ru1'
_space_group_name_H-M_alt 'P m m m'
_space_group_IT_number 47
_cell_length_a 3.305
_cell_length_b 4.763
_cell_length_c 5.120
_cell_angle_alpha 90.00
_cell_angle_beta 90.00
_cell_angle_gamma 90.00
loop_
_space_group_symop_operation_xyz
'x,y,z'
'-x,-y,-z'
'-x,-y,z'
'x,y,-z'
'x,-y,-z'
'-x,y,z'
'-x,y,-z'
'x,-y,z'
loop_
_atom_site_label
_atom_site_type_symbol
_atom_site_fract_x
_atom_site_fract_y
_atom_site_fract_z
_atom_site_occupancy
Al1 Al 0.000 0.000 0.000 1
Tl1 Tl 0.000 0.500 0.500 1
Tl2 Tl 0.500 0.500 0.000 1
Ru1 Ru 0.500 0.000 0.500 1
```

=====

2 | # AlTl2Ru

An optimized crystal structure of AlTl2Ru (GGA-PBE, Alexandria).

## Properties
DOS(E_F): 0.395 states/eV/atom
crystal system: orthorhombic

```
data_AlTl2Ru
_chemical_formula_sum 'Al2 Tl4 Ru2'
_space_group_name_H-M_alt 'I m m m'
_space_group_IT_number 71
_space_group_name_Hall '-I 2 2'
_cell_length_a 3.095
_cell_length_b 4.002
_cell_length_c 14.737
_cell_angle_alpha 90.00
_cell_angle_beta 90.00
_cell_angle_gamma 90.00
loop_
_atom_site_label
_atom_site_type_symbol
_atom_site_fract_x
_atom_site_fract_y
_atom_site_fract_z
_atom_site_occupancy
Al1 Al 0.000 0.000 0.000 1
Tl1 Tl 0.000 0.500 0.171 1
Ru1 Ru 0.000 0.000 0.500 1
```

=====

3 | # AlTl2Ru

An optimized crystal structure of AlTl2Ru (GGA-PBE, Alexandria).

## Properties
DOS(E_F): 0.575 states/eV/atom
crystal system: tetragonal

```
data_AlTl2Ru
_chemical_formula_sum 'Al1 Tl2 Ru1'
_space_group_name_H-M_alt 'P 4/m m m'
_space_group_IT_number 123
_space_group_name_Hall '-P 4 2'
_cell_length_a 3.716
_cell_length_b 3.716
_cell_length_c 5.780
_cell_angle_alpha 90.00
_cell_angle_beta 90.00
_cell_angle_gamma 90.00
loop_
_atom_site_label
_atom_site_type_symbol
_atom_site_fract_x
_atom_site_fract_y
_atom_site_fract_z
_atom_site_occupancy
Al1 Al 0.000 0.000 0.000 1
Tl1 Tl 0.500 0.500 0.256 1
Ru1 Ru 0.000 0.000 0.500 1
```

=====

Relative energies in meV per atom: 1 468; 2 0; 3 421

=====

1 | # AlTl2Ru

An optimized crystal structure of AlTl2Ru (GGA-PBE, Alexandria).

## Properties
DOS(E_F): 0.694 states/eV/atom
crystal system: trigonal

```
data_AlTl2Ru
_chemical_formula_sum 'Al3 Tl6 Ru3'
_space_group_name_H-M_alt 'R -3 m'
_space_group_IT_number 166
_space_group_name_Hall '-R 3 2"'
_cell_length_a 3.2919
_cell_length_b 3.2919
_cell_length_c 26.9101
_cell_angle_alpha 90.00
_cell_angle_beta 90.00
_cell_angle_gamma 120.00
loop_
_atom_site_label
_atom_site_type_symbol
_atom_site_fract_x
_atom_site_fract_y
_atom_site_fract_z
_atom_site_occupancy
Al1 Al 0.0000 0.0000 0.0000 1
Tl1 Tl 0.0000 0.0000 0.2438 1
Ru1 Ru 0.0000 0.0000 0.5000 1
```

=====

2 | # AlTl2Ru

An optimized crystal structure of AlTl2Ru (GGA-PBE, Alexandria).

## Properties
DOS(E_F): 0.805 states/eV/atom
crystal system: tetragonal

```
data_AlTl2Ru
_chemical_formula_sum 'Al1 Tl2 Ru1'
_space_group_name_H-M_alt 'P 4/m m m'
_space_group_IT_number 123
_space_group_name_Hall '-P 4 2'
_cell_length_a 3.145
_cell_length_b 3.145
_cell_length_c 8.590
_cell_angle_alpha 90.00
_cell_angle_beta 90.00
_cell_angle_gamma 90.00
loop_
_atom_site_label
_atom_site_type_symbol
_atom_site_fract_x
_atom_site_fract_y
_atom_site_fract_z
_atom_site_occupancy
Al1 Al 0.000 0.000 0.000 1
Tl1 Tl 0.500 0.500 0.285 1
Ru1 Ru 0.000 0.000 0.500 1
```

=====

Relative energies in meV per atom: 1 0; 2 6

=====

1 | # AlTl2Ru

An optimized crystal structure of AlTl2Ru (GGA-PBE, Alexandria).

## Properties
DOS(E_F): 0.469 states/eV/atom
crystal system: orthorhombic

```
data_AlTl2Ru
_chemical_formula_sum 'Al2 Tl4 Ru2'
_space_group_name_H-M_alt 'A m m 2'
_space_group_IT_number 38
_cell_length_a 4.139
_cell_length_b 3.849
_cell_length_c 10.441
_cell_angle_alpha 90.00
_cell_angle_beta 90.00
_cell_angle_gamma 90.00
loop_
_space_group_symop_operation_xyz
'x,y,z'
'-x,-y,z'
'-x,y,z'
'x,-y,z'
'x,y+1/2,z+1/2'
'-x,-y+1/2,z+1/2'
'-x,y+1/2,z+1/2'
'x,-y+1/2,z+1/2'
loop_
_atom_site_label
_atom_site_type_symbol
_atom_site_fract_x
_atom_site_fract_y
_atom_site_fract_z
_atom_site_occupancy
Al1 Al 0.000 0.000 0.000 1
Tl1 Tl 0.000 0.000 0.718 1
Tl2 Tl 0.500 0.000 0.406 1
Ru1 Ru 0.500 0.000 0.127 1
```

=====

2 | # AlTl2Ru

An optimized crystal structure of AlTl2Ru (GGA-PBE, Alexandria).

## Properties
DOS(E_F): 0.693 states/eV/atom
crystal system: tetragonal

```
data_AlTl2Ru
_chemical_formula_sum 'Al2 Tl4 Ru2'
_space_group_name_H-M_alt 'I -4 m 2'
_space_group_IT_number 119
_space_group_name_Hall 'I -4 -2'
_cell_length_a 4.234
_cell_length_b 4.234
_cell_length_c 8.728
_cell_angle_alpha 90.00
_cell_angle_beta 90.00
_cell_angle_gamma 90.00
loop_
_atom_site_label
_atom_site_type_symbol
_atom_site_fract_x
_atom_site_fract_y
_atom_site_fract_z
_atom_site_occupancy
Al1 Al 0.000 0.000 0.000 1
Tl1 Tl 0.000 0.000 0.500 1
Tl2 Tl 0.000 0.500 0.250 1
Ru1 Ru 0.000 0.500 0.750 1
```

=====

3 | # AlTl2Ru

An optimized crystal structure of AlTl2Ru (GGA-PBE, Alexandria).

## Properties
DOS(E_F): 0.610 states/eV/atom
crystal system: tetragonal

```
data_AlTl2Ru
_chemical_formula_sum 'Al4 Tl8 Ru4'
_space_group_name_H-M_alt 'I 41/a m d'
_space_group_IT_number 141
_cell_length_a 10.425
_cell_length_b 10.425
_cell_length_c 4.719
_cell_angle_alpha 90.00
_cell_angle_beta 90.00
_cell_angle_gamma 90.00
loop_
_space_group_symop_operation_xyz
'x,y,z'
'-x,-y,-z'
'-y+1/4,x+3/4,z+1/4'
'y+1/4,-x+3/4,-z+1/4'
'-x+1/2,-y,z+1/2'
'x+1/2,y,-z+1/2'
'y+1/4,-x+1/4,z+3/4'
'-y+1/4,x+1/4,-z+3/4'
'x,-y,-z'
'-x,y,z'
'-y+1/4,-x+1/4,-z+3/4'
'y+1/4,x+1/4,z+3/4'
'-x+1/2,y,-z+1/2'
'x+1/2,-y,z+1/2'
'y+1/4,x+3/4,-z+1/4'
'-y+1/4,-x+3/4,z+1/4'
'x+1/2,y+1/2,z+1/2'
'-x+1/2,-y+1/2,-z+1/2'
'-y+3/4,x+1/4,z+3/4'
'y+3/4,-x+1/4,-z+3/4'
'-x,-y+1/2,z'
'x,y+1/2,-z'
'y+3/4,-x+3/4,z+1/4'
'-y+3/4,x+3/4,-z+1/4'
'x+1/2,-y+1/2,-z+1/2'
'-x+1/2,y+1/2,z+1/2'
'-y+3/4,-x+3/4,-z+1/4'
'y+3/4,x+3/4,z+1/4'
'-x,y+1/2,-z'
'x,-y+1/2,z'
'y+3/4,x+1/4,-z+3/4'
'-y+3/4,-x+1/4,z+3/4'
loop_
_atom_site_label
_atom_site_type_symbol
_atom_site_fract_x
_atom_site_fract_y
_atom_site_fract_z
_atom_site_occupancy
Al1 Al 0.000 0.250 0.375 1
Tl1 Tl 0.000 0.000 0.000 1
Ru1 Ru 0.000 0.250 0.875 1
```

=====

4 | # AlTl2Ru

An optimized crystal structure of AlTl2Ru (GGA-PBE, Alexandria).

## Properties
DOS(E_F): 0.429 states/eV/atom
crystal system: orthorhombic

```
data_AlTl2Ru
_chemical_formula_sum 'Al2 Tl4 Ru2'
_space_group_name_H-M_alt 'I m m 2'
_space_group_IT_number 44
_cell_length_a 3.066
_cell_length_b 4.637
_cell_length_c 12.652
_cell_angle_alpha 90.00
_cell_angle_beta 90.00
_cell_angle_gamma 90.00
loop_
_space_group_symop_operation_xyz
'x,y,z'
'-x,-y,z'
'-x,y,z'
'x,-y,z'
'x+1/2,y+1/2,z+1/2'
'-x+1/2,-y+1/2,z+1/2'
'-x+1/2,y+1/2,z+1/2'
'x+1/2,-y+1/2,z+1/2'
loop_
_atom_site_label
_atom_site_type_symbol
_atom_site_fract_x
_atom_site_fract_y
_atom_site_fract_z
_atom_site_occupancy
Al1 Al 0.000 0.000 0.000 1
Tl1 Tl 0.000 0.000 0.370 1
Tl2 Tl 0.000 0.500 0.171 1
Ru1 Ru 0.000 0.500 0.655 1
```

=====

Relative energies in meV per atom: 1 34; 2 275; 3 0; 4 20